No. 1
Density functional theory data (GGA-PBE) for a geometry-optimized Na2V2Se5 structure.

Output
The symmetry is C2/m. The final energy comes out at -44.51 eV per cell.

Cell lengths 4.9056, 7.4731, 7.3002 Å; angles 97.44, 90.00, 109.16 degrees
Last column: magnetic moment on the atom in μB.
Atoms (fractional coordinates):
Se: 0.6828 0.3656 0.9612  -0.07
Se: 0.8637 0.7274 0.4284  -0.08
Se: 0.1363 0.2726 0.5716  -0.08
Se: 0.3172 0.6344 0.0388  -0.07
Se: 0.0000 0.0000 0.0000  -0.12
V: 0.8515 0.7030 0.1141  1.16
V: 0.1485 0.2970 0.8859  1.16
Na: 0.6409 0.2817 0.3508  0.00
Na: 0.3591 0.7183 0.6492  0.00



No. 2
Density functional theory data (GGA-PBE) for a geometry-optimized NaVSe2 structure.

Output
The symmetry is P4/mmm. The final energy comes out at -19.82 eV per cell.

Cell lengths 3.1798, 3.1798, 7.2108 Å; angles 90.00, 90.00, 90.00 degrees
Atoms (fractional coordinates):
Se: 0.0000 0.0000 0.2052
Se: 0.0000 0.0000 0.7948
Na: 0.5000 0.5000 0.5000
V: 0.5000 0.5000 0.0000



No. 3
Density functional theory data (GGA-PBE) for a geometry-optimized Na3V5Se10 structure.

Output
The symmetry is P1. The final energy comes out at -99.21 eV per cell.

Cell lengths 37.9277, 22.2609, 14.7142 Å; angles 12.33, 13.64, 9.08 degrees
Last column: magnetic moment on the atom in μB.
Atoms (fractional coordinates):
Se: 0.7539 0.6120 0.6089  -0.10
Se: 0.8395 0.4019 0.4013  -0.10
Se: 0.5535 0.6071 0.6032  -0.10
Se: 0.3524 0.6084 0.5987  -0.10
Se: 0.1640 0.6136 0.5631  -0.12
Se: 0.2348 0.3999 0.4268  -0.10
Se: 0.6402 0.3830 0.4158  -0.09
Se: 0.0276 0.4030 0.4314  -0.10
Se: 0.4469 0.3839 0.3983  -0.09
Se: 0.9388 0.6325 0.6071  -0.10
V: 0.0305 0.9395 0.0150  1.63
V: 0.1925 0.0415 0.9605  1.68
V: 0.5634 0.0219 0.0593  1.66
V: 0.3619 0.0383 0.0372  1.68
V: 0.8321 0.9832 0.9423  1.60
Na: 0.7278 0.1879 0.1506  0.00
Na: 0.3404 0.1466 0.1724  0.00
Na: 0.5998 0.0959 0.1083  0.00



No. 4
Density functional theory data (GGA-PBE) for a geometry-optimized NaV2Se4 structure.

Output
The symmetry is Cmcm. The final energy comes out at -76.75 eV per cell.

Cell lengths 3.6649, 6.4250, 13.0715 Å; angles 90.00, 90.00, 106.57 degrees
Last column: magnetic moment on the atom in μB.
Atoms (fractional coordinates):
Se: 0.9249 0.8497 0.7500  -0.19
Se: 0.7686 0.5371 0.3972  -0.12
Se: 0.5000 0.0000 0.5000  -0.10
Se: 0.0751 0.1503 0.2500  -0.19
Se: 0.2314 0.4629 0.8972  -0.12
Se: 0.7686 0.5371 0.1028  -0.12
Se: 0.5000 0.0000 0.0000  -0.10
Se: 0.2314 0.4629 0.6028  -0.12
V: 0.1305 0.2611 0.0726  1.67
V: 0.8695 0.7389 0.9274  1.67
V: 0.1305 0.2611 0.4274  1.67
V: 0.8695 0.7389 0.5726  1.67
Na: 0.3839 0.7678 0.2500  0.00
Na: 0.6161 0.2322 0.7500  0.00



No. 5
Density functional theory data (GGA-PBE) for a geometry-optimized NaV6Se8 structure.

Output
The symmetry is R-3. The final energy comes out at -94.96 eV per cell.

Cell lengths 6.7506, 6.7506, 6.7506 Å; angles 91.04, 91.04, 91.04 degrees
Last column: magnetic moment on the atom in μB.
Atoms (fractional coordinates):
V: 0.5622 0.2211 0.4174  1.16
V: 0.2211 0.4174 0.5622  1.16
V: 0.5826 0.4378 0.7789  1.16
V: 0.4378 0.7789 0.5826  1.16
V: 0.7789 0.5826 0.4378  1.16
V: 0.4174 0.5622 0.2211  1.16
Se: 0.3822 0.1235 0.7289  -0.03
Se: 0.2422 0.2422 0.2422  -0.03
Se: 0.7578 0.7578 0.7578  -0.03
Se: 0.8765 0.2711 0.6178  -0.03
Se: 0.6178 0.8765 0.2711  -0.03
Se: 0.2711 0.6178 0.8765  -0.03
Se: 0.1235 0.7289 0.3822  -0.03
Se: 0.7289 0.3822 0.1235  -0.03
Na: 0.0000 0.0000 0.0000  0.01



No. 6
Density functional theory data (GGA-PBE) for a geometry-optimized NaVSe2 structure.

Output
The symmetry is Fm-3m. The final energy comes out at -19.24 eV per cell.

Cell lengths 4.7235, 4.7235, 4.7235 Å; angles 60.00, 60.00, 60.00 degrees
Last column: magnetic moment on the atom in μB.
Atoms (fractional coordinates):
Se: 0.7500 0.7500 0.7500  -0.19
Se: 0.2500 0.2500 0.2500  -0.19
V: 0.5000 0.5000 0.5000  2.25
Na: 0.0000 0.0000 0.0000  0.00



No. 7
Density functional theory data (GGA-PBE) for a geometry-optimized Na2V3Se6 structure.

Output
The symmetry is C2/m. The final energy comes out at -60.00 eV per cell.

Cell lengths 6.2371, 6.3233, 7.4341 Å; angles 82.86, 75.40, 60.45 degrees
Last column: magnetic moment on the atom in μB.
Atoms (fractional coordinates):
Se: 0.0479 0.3452 0.8074  -0.10
Se: 0.7324 0.0000 0.7795  -0.11
Se: 0.6068 0.3452 0.1926  -0.10
Se: 0.3932 0.6548 0.8074  -0.10
Se: 0.2676 0.0000 0.2205  -0.11
Se: 0.9521 0.6548 0.1926  -0.10
Na: 0.8241 0.3517 0.5000  0.00
Na: 0.1759 0.6483 0.5000  0.00
V: 0.3536 0.2929 0.0000  1.68
V: 0.0000 0.0000 0.0000  1.79
V: 0.6464 0.7071 0.0000  1.68



No. 8
Density functional theory data (GGA-PBE) for a geometry-optimized Na3V5Se10 structure.

Output
The symmetry is P1. The final energy comes out at -96.67 eV per cell.

Cell lengths 7.2375, 7.8638, 10.0745 Å; angles 102.65, 94.28, 124.88 degrees
Last column: magnetic moment on the atom in μB.
Atoms (fractional coordinates):
V: 0.0984 0.0964 0.6547  2.03
V: 0.8260 0.7522 0.9616  0.81
V: 0.2117 0.9320 0.4006  1.87
V: 0.7794 0.3924 0.4310  1.51
V: 0.6421 0.3432 0.7235  1.83
Se: 0.4080 0.3396 0.5273  -0.09
Se: 0.1023 0.5511 0.3215  -0.09
Se: 0.8856 0.2640 0.5950  -0.11
Se: 0.4371 0.4162 0.9032  -0.05
Se: 0.8673 0.9907 0.8426  -0.06
Se: 0.3272 0.9524 0.6600  -0.11
Se: 0.0309 0.6192 0.9028  -0.07
Se: 0.9593 0.9276 0.1965  -0.09
Se: 0.4983 0.0663 0.2463  -0.11
Se: 0.8163 0.7490 0.4562  -0.12
Na: 0.3700 0.3976 0.2091  0.00
Na: 0.7697 0.2631 0.0439  0.00
Na: 0.3705 0.6473 0.7239  0.00